This record from Alexandria describes an optimized crystal structure of Cs2AgHgP. The functional is PBE.

a b c (Å): 7.046 7.046 4.697
angles (deg): 90.00 90.00 90.00
Sites, in units of the cell vectors:
P1 0.000 0.000 0.000
Ag1 0.000 0.000 0.500
Cs1 0.500 0.000 0.000
Cs2 0.000 0.500 0.000
Hg1 0.500 0.500 0.500

Summary:
Energy above the lowest structure with this stoichiometry = 0 meV/atom
Total moment = 0.000 μB/atom
D(E_F) = 0.4765 states/eV/atom



This record from Alexandria describes an optimized crystal structure of MgCd2Ag7Sn2. The functional is PBE.

a b c (Å): 3.990 3.990 16.014
angles (deg): 83.21 83.21 89.90
Sites, in units of the cell vectors:
Cd1 0.365 0.365 0.275
Ag1 0.567 0.068 0.862
Ag2 0.433 0.932 0.138
Ag3 0.500 0.500 0.000
Cd2 0.635 0.635 0.725
Sn1 0.822 0.822 0.362
Mg1 0.000 0.000 0.000
Ag4 0.272 0.272 0.458
Ag5 0.932 0.433 0.138
Ag6 0.068 0.567 0.862
Ag7 0.728 0.728 0.542
Sn2 0.178 0.178 0.638

Summary:
Final energy = -31.2 eV per cell
Total moment = 0.000 μB/atom
D(E_F) = 0.2873 states/eV/atom



This record from Alexandria describes an optimized crystal structure of Li2MoH. The functional is PBE.

a b c (Å): 4.120 4.120 4.120
angles (deg): 60.00 60.00 60.00
Sites, in units of the cell vectors:
Mo1 0.500 0.500 0.500
H1 0.000 0.000 0.000
Li1 0.250 0.250 0.250
Li2 0.750 0.750 0.750

Summary:
Energy above the lowest structure with this stoichiometry = 765 meV/atom
Total moment = 0.353 μB/atom
D(E_F) = 0.8326 states/eV/atom



Copy entry 3 word for word.
This record from Alexandria describes an optimized crystal structure of Li2MoH. The functional is PBE.

a b c (Å): 4.120 4.120 4.120
angles (deg): 60.00 60.00 60.00
Sites, in units of the cell vectors:
Mo1 0.500 0.500 0.500
H1 0.000 0.000 0.000
Li1 0.250 0.250 0.250
Li2 0.750 0.750 0.750

Summary:
Energy above the lowest structure with this stoichiometry = 765 meV/atom
Total moment = 0.353 μB/atom
D(E_F) = 0.8326 states/eV/atom